1.
First-principles (PBE-GGA) data for an optimized crystal structure of ScCu2HgMo, as listed in Alexandria.

Computed properties:
- energy (eV per atom) = -3.8115
- ΔE_f (meV per atom) = 1320
- density (g/cm3) = 6.6

```
data_ScCu2HgMo
_space_group_name_H-M_alt 'P 4/m m m'
_space_group_IT_number 123
_space_group_name_Hall '-P 4 2'
_cell_length_a 4.7577
_cell_length_b 4.7577
_cell_length_c 5.2153
_cell_angle_alpha 90.00
_cell_angle_beta 90.00
_cell_angle_gamma 90.00
loop_
_atom_site_label
_atom_site_type_symbol
_atom_site_fract_x
_atom_site_fract_y
_atom_site_fract_z
Sc1 Sc 0.0000 0.0000 0.0000
Cu1 Cu 0.0000 0.5000 0.5000
Hg1 Hg 0.0000 0.0000 0.5000
Mo1 Mo 0.5000 0.5000 0.0000
```

=====

2.
First-principles (PBE-GGA) data for an optimized crystal structure of Tl2CuHgMo, as listed in Alexandria.

Computed properties:
- energy (eV per atom) = -2.6664
- ΔE_f (meV per atom) = 1326
- density (g/cm3) = 8.1

```
data_Tl2CuHgMo
_space_group_name_H-M_alt 'P 4/m m m'
_space_group_IT_number 123
_space_group_name_Hall '-P 4 2'
_cell_length_a 5.6672
_cell_length_b 5.6672
_cell_length_c 4.9151
_cell_angle_alpha 90.00
_cell_angle_beta 90.00
_cell_angle_gamma 90.00
loop_
_atom_site_label
_atom_site_type_symbol
_atom_site_fract_x
_atom_site_fract_y
_atom_site_fract_z
Tl1 Tl 0.0000 0.5000 0.0000
Cu1 Cu 0.0000 0.0000 0.5000
Hg1 Hg 0.0000 0.0000 0.0000
Mo1 Mo 0.5000 0.5000 0.5000
```

=====

3.
First-principles (PBE-GGA) data for an optimized crystal structure of CuHgN2, as listed in Alexandria.

Computed properties:
- energy (eV per atom) = -3.8307
- density (g/cm3) = 8.2
- raw formation energy (eV/atom) = 1.43

```
data_CuHgN2
_space_group_name_H-M_alt 'R -3 m'
_space_group_IT_number 166
_space_group_name_Hall '-R 3 2"'
_cell_length_a 3.4575
_cell_length_b 3.4575
_cell_length_c 17.2146
_cell_angle_alpha 90.00
_cell_angle_beta 90.00
_cell_angle_gamma 120.00
loop_
_atom_site_label
_atom_site_type_symbol
_atom_site_fract_x
_atom_site_fract_y
_atom_site_fract_z
Cu1 Cu 0.0000 0.0000 0.0000
Hg1 Hg 0.0000 0.0000 0.5000
N1 N 0.0000 0.0000 0.1046
```